Computed, not measured: a relaxed structure of Cu11PdN4 at the PBE-GGA level of DFT.

Output
Total DFT energy (no corrections) = -138.29 eV for the cell shown
Energy relative to the lowest polymorph listed for this composition = 95 meV per atom

Geometry as CIF:
```
data_Cu11PdN4
_cell_length_a 7.4174
_cell_length_b 7.4174
_cell_length_c 7.7662
_cell_angle_alpha 90.00
_cell_angle_beta 90.00
_cell_angle_gamma 90.00
_space_group_name_H-M_alt 'P 4/m m m'
_space_group_IT_number 123
_space_group_name_Hall '-P 4 2'
loop_
_atom_site_label
_atom_site_type_symbol
_atom_site_fract_x
_atom_site_fract_y
_atom_site_fract_z
Cu1 Cu 0.0000 0.0000 0.2315
Cu2 Cu 0.0000 0.2533 0.5000
Cu3 Cu 0.2360 0.5000 0.0000
Cu4 Cu 0.2418 0.2418 0.2316
Cu5 Cu 0.2445 0.5000 0.5000
Pd1 Pd 0.5000 0.5000 0.2478
N1 N 0.0000 0.0000 0.0000
N2 N 0.0000 0.0000 0.5000
N3 N 0.0000 0.5000 0.0000
N4 N 0.0000 0.5000 0.5000
N5 N 0.5000 0.5000 0.0000
N6 N 0.5000 0.5000 0.5000
```